Record 1
{"formula": "KPmY2Se4", "functional": "GGA-PBE", "state": "optimized geometry", "m_tot_mub_per_fu": 0.0, "raw_formation_energy_ev_per_atom": -1.743, "density_g_cm3": 5.31, "lattice_angstrom": [[-3.8149, -0.9698, 1.2821], [-1.3382, -3.2842, -6.4656], [1.9651, -7.0369, 0.5246]], "species": ["K", "Pm", "Y", "Y", "Se", "Se", "Se", "Se"], "frac_coords": [[0.0000, 0.5000, 0.5000], [0.5000, 0.5000, 0.0000], [0.0000, 0.0000, 0.0000], [0.5000, 0.0000, 0.5000], [0.0000, 0.7638, 0.7508], [0.0000, 0.2362, 0.2492], [0.5000, 0.7720, 0.2343], [0.5000, 0.2280, 0.7657]]}


Record 2
{"formula": "Os3PtF", "functional": "GGA-PBE", "state": "optimized geometry", "m_tot_mub_per_fu": 0.0, "de_polymorph_kcal_per_mol_atoms": 0.00, "raw_formation_energy_ev_per_atom": 1.555, "density_g_cm3": 17.83, "lattice_angstrom": [[-4.0519, 1.0303, 0.0598], [-0.7772, -2.8865, -2.9236], [-0.6791, -2.8442, 2.9887]], "species": ["Os", "Os", "Os", "Pt", "F"], "frac_coords": [[0.0000, 0.5000, 0.0000], [0.0000, 0.0000, 0.5000], [0.5000, 0.0000, 0.0000], [0.5000, 0.5000, 0.5000], [0.0000, 0.0000, 0.0000]]}


Record 3
{"formula": "NiGeH3", "functional": "GGA-PBE", "state": "optimized geometry", "m_tot_mub_per_fu": 0.4, "de_polymorph_kcal_per_mol_atoms": 13.15, "density_g_cm3": 4.90, "lattice_angstrom": [[3.5720, 0.0000, 0.0000], [0.0000, 3.5720, 0.0000], [0.0000, 0.0000, 3.5720]], "species": ["Ni", "Ge", "H", "H", "H"], "frac_coords": [[0.5000, 0.5000, 0.5000], [0.0000, 0.0000, 0.0000], [0.0000, 0.5000, 0.0000], [0.0000, 0.0000, 0.5000], [0.5000, 0.0000, 0.0000]]}


Record 4
{"formula": "PmY6Er2Tm3", "functional": "GGA-PBE", "state": "optimized geometry", "m_tot_mub_per_fu": 0.0, "e_form_mev_per_atom": 26, "density_g_cm3": 6.67, "lattice_angstrom": [[6.1383, 0.0023, 0.0085], [-3.0656, 5.3179, 0.0085], [-1.0360, -1.7938, 11.5781]], "species": ["Pm", "Y", "Y", "Y", "Y", "Y", "Y", "Er", "Er", "Tm", "Tm", "Tm"], "frac_coords": [[0.0000, 0.0000, 0.0000], [0.9156, 0.5817, 0.7481], [0.7504, 0.7504, 0.2517], [0.0844, 0.4183, 0.2519], [0.5817, 0.9156, 0.7481], [0.2496, 0.2496, 0.7483], [0.4183, 0.0844, 0.2519], [0.3333, 0.6667, 0.0000], [0.6667, 0.3333, 0.0000], [0.1669, 0.8331, 0.5000], [0.8331, 0.1669, 0.5000], [0.5000, 0.5000, 0.5000]]}


Record 5
{"formula": "PrSmHg5", "functional": "GGA-PBE", "state": "optimized geometry", "m_tot_mub_per_fu": 0.0, "e_form_mev_per_atom": -293, "density_g_cm3": 10.99, "lattice_angstrom": [[-1.1374, 2.7143, -3.6744], [-0.5459, -3.8402, -2.6678], [-8.5033, -0.4096, 2.3295]], "species": ["Pr", "Sm", "Hg", "Hg", "Hg", "Hg", "Hg"], "frac_coords": [[0.5000, 0.5000, 0.0000], [0.0000, 0.0000, 0.5000], [0.0000, 0.5000, 0.7547], [0.0000, 0.5000, 0.2453], [0.5000, 0.0000, 0.7547], [0.5000, 0.0000, 0.2453], [0.5000, 0.5000, 0.5000]]}


Record 6
{"formula": "YTcRu2", "functional": "GGA-PBE", "state": "optimized geometry", "m_tot_mub_per_fu": 0.0, "de_polymorph_kcal_per_mol_atoms": 4.80, "e_form_mev_per_atom": 292, "density_g_cm3": 9.64, "lattice_angstrom": [[3.1806, 0.0000, 0.0000], [0.0000, 4.7068, 0.0000], [0.0000, 0.0000, 4.4759]], "species": ["Ru", "Ru", "Tc", "Y"], "frac_coords": [[0.0000, 0.0000, 0.0000], [0.5000, 0.5000, 0.0000], [0.5000, 0.0000, 0.5000], [0.0000, 0.5000, 0.5000]]}


| no. | energy (eV per atom) |
| --- | --- |
| 1 | -5.832 |
| 2 | -6.765 |
| 3 | -3.227 |
| 4 | -5.481 |
| 5 | -1.866 |
| 6 | -8.553 |